Below is an optimized crystal structure of In2AgSb2Au7, with properties calculated at the PBE level.

Cell lengths 4.1090, 4.1090, 16.6769 Å; angles 79.16, 79.16, 88.76 degrees
With the nearest neighbours (Å) after each atom.
Atoms (fractional coordinates):
In 0.6971 0.6971 0.7432  5 Au 2.69-2.84
In 0.3029 0.3029 0.2568  5 Au 2.69-2.84
Ag 0.0000 0.0000 0.0000  12 Au 2.87-3.00
Sb 0.6974 0.6974 0.4180  5 Au 2.88-2.94, 1 Sb 3.08
Sb 0.3026 0.3026 0.5820  5 Au 2.88-2.94, 1 Sb 3.08
Au 0.5000 0.5000 0.0000  4 Ag 2.87-2.94, 8 Au 2.98-3.00
Au 0.1928 0.1928 0.4237  1 In 2.69, 5 Sb 2.88-2.94, 1 Au 2.93
Au 0.8072 0.8072 0.5763  1 In 2.69, 5 Sb 2.88-2.94, 1 Au 2.93
Au 0.8954 0.3956 0.1351  2 In 2.83-2.84, 6 Au 2.87-3.00, 2 Ag 2.98-3.00
Au 0.3956 0.8954 0.1351  2 In 2.83-2.84, 6 Au 2.87-3.00, 2 Ag 2.98-3.00
Au 0.6044 0.1046 0.8649  2 In 2.83-2.84, 6 Au 2.87-3.00, 2 Ag 2.98-3.00
Au 0.1046 0.6044 0.8649  2 In 2.83-2.84, 6 Au 2.87-3.00, 2 Ag 2.98-3.00

Results
formation energy from raw total energies = -0.04 eV/atom
total magnetization = 0.0 μB/cell
E_tot = -3.3292 eV per atom